A plane-wave DFT calculation with PBE+U was carried out for CoP2PbO after structural relaxation.

Structure (POSCAR):
```
CoP2PbO
1.0
5.292 0.000 0.000
0.000 5.292 0.000
0.000 0.000 4.170
Co Pb P O
1 1 2 1
Direct
0.500 0.500 0.500
0.000 0.000 0.000
0.500 0.000 0.000
0.000 0.500 0.000
0.000 0.000 0.500
```

Output
The density of states at the Fermi level comes out at 0.835 states/eV per atom. The calculation puts the excess energy over the best structure of this formula in the dataset at 959 meV/atom. Its space group is P4/mmm.